AlOsNO | PBE-GGA | relaxed

POSCAR file:
```
AlOsNO
1.0
-1.610 3.295 0.242
-1.882 -1.136 2.946
5.567 2.392 4.477
N O Al Os
2 2 2 2
Cartesian
1.588 2.676 2.046
2.233 0.796 4.026
-1.746 1.080 1.594
0.000 0.000 0.000
1.037 2.276 3.833
2.783 1.196 2.239
-0.286 -0.287 2.000
4.107 3.758 4.072
```

Values from the calculation:
- Spin magnetization: 0.000 μB per atom
- E above lowest polymorph: 3.958 eV per formula unit
- Calculated volume: 12.72 Å³ per atom